[1]
Th4SnTe5 | Alexandria via LeMat-Bulk | PBE-GGA | relaxed; density of states at the Fermi level = 5.305 states/eV/cell; SG = C2/m; uncorrected energy = -5.957 eV per atom
1.0
-2.774 -2.573 -2.377
6.719 -2.073 -5.598
1.985 -5.638 7.986
Te Sn Th
5 1 4
direct
0.500 0.500 0.000
0.832 0.667 0.665
0.168 0.333 0.335
0.167 0.830 0.334
0.833 0.170 0.666
0.500 0.000 0.000
0.666 0.089 0.332
0.998 0.751 0.997
0.002 0.249 0.003
0.334 0.911 0.668

***

[2]
TaAlPd3 | Alexandria via LeMat-Bulk | PBE-GGA | relaxed; density of states at the Fermi level = 5.609 states/eV/cell; excess energy over the best structure of this formula in the dataset = 458 meV per atom; SG = Pm-3m; uncorrected energy = -5.329 eV per atom
1.0
4.858 0.000 0.000
0.000 4.858 0.000
0.000 0.000 4.858
Pd Ta Al
3 1 1
direct
0.000 0.000 0.500
0.500 0.000 0.000
0.000 0.500 0.000
0.000 0.000 0.000
0.500 0.500 0.500

***

[3]
Pb7Cl6 | Alexandria via LeMat-Bulk | PBE-GGA | relaxed; density of states at the Fermi level = 5.269 states/eV/cell; SG = R-3m; uncorrected energy = -3.329 eV per atom
1.0
-4.355 -9.751 -4.306
0.044 -11.502 0.542
-6.196 -9.451 2.209
Pb Cl
7 6
direct
0.500 0.500 0.500
0.922 0.413 0.413
0.587 0.078 0.587
0.078 0.587 0.587
0.413 0.413 0.922
0.413 0.922 0.413
0.587 0.587 0.078
0.649 0.649 0.649
0.181 0.181 0.181
0.819 0.819 0.819
0.073 0.073 0.073
0.351 0.351 0.351
0.927 0.927 0.927

***

[4]
RbLaAu2 | Alexandria via LeMat-Bulk | PBE-GGA | relaxed; density of states at the Fermi level = 9.895 states/eV/cell; SG = I-42d; uncorrected energy = -3.300 eV per atom
1.0
-4.618 7.049 -1.077
-6.383 -4.658 -3.121
-7.009 0.775 1.615
La Au Rb
2 4 2
direct
0.000 0.000 0.000
0.750 0.250 0.500
0.667 0.125 0.250
0.083 0.625 0.250
0.375 0.333 0.750
0.875 0.917 0.750
0.250 0.750 0.500
0.500 0.500 0.000

***

[5]
NiB2AsSe | Alexandria via LeMat-Bulk | PBE-GGA | relaxed; density of states at the Fermi level = 4.011 states/eV/cell; SG = P4/mmm; uncorrected energy = -3.929 eV per atom
1.0
4.083 0.000 0.000
0.000 4.512 0.000
0.000 0.000 4.083
Se As B Ni
1 1 2 1
direct
0.000 0.000 0.000
0.500 0.500 0.500
0.500 0.000 0.000
0.000 0.000 0.500
0.000 0.500 0.000

***

[6]
HfBPt | Alexandria via LeMat-Bulk | PBE-GGA | relaxed; density of states at the Fermi level = 3.641 states/eV/cell; SG = C2/m; uncorrected energy = -8.181 eV per atom
1.0
3.439 0.000 0.000
-1.719 4.319 0.360
0.000 -1.695 5.989
B Pt Hf
2 2 2
direct
0.587 0.174 0.080
0.413 0.826 0.920
0.633 0.266 0.423
0.367 0.734 0.577
0.887 0.775 0.195
0.113 0.225 0.805

***

[7]
LaPmTm2Cd4 | Alexandria via LeMat-Bulk | PBE-GGA | relaxed; density of states at the Fermi level = 9.214 states/eV/cell; SG = R-3m; uncorrected energy = -3.092 eV per atom
1.0
-4.976 2.001 0.296
-3.518 -2.058 3.499
-0.162 5.723 7.327
Tm Cd La Pm
2 4 1 1
direct
0.250 0.250 0.251
0.750 0.750 0.749
0.126 0.126 0.621
0.874 0.874 0.379
0.376 0.376 0.871
0.624 0.624 0.129
0.000 0.000 0.000
0.500 0.500 0.500

***

[8]
EuPuCu2 | Alexandria via LeMat-Bulk | PBE-GGA | relaxed; density of states at the Fermi level = 11.515 states/eV/cell; excess energy over the best structure of this formula in the dataset = 0 meV per atom; SG = P4/mmm; uncorrected energy = -8.155 eV per atom
1.0
-1.245 2.644 1.419
0.373 -2.312 4.634
4.781 1.939 0.583
Cu Pu Eu
2 1 1
direct
0.000 0.000 0.500
0.000 0.500 0.000
0.500 0.500 0.500
0.500 0.000 0.000